Version A
Entry from Alexandria: an optimized crystal structure of BaOF2 (PBE).

Computed properties:
density of states at the Fermi level = 2.878 states/eV/f.u.
V = 153.3 Å³/cell
M_tot = 2.0 μB per formula unit

abc: 4.3890 4.3890 8.5397
angles: 75.11 75.11 90.00
Last column: nearest neighbours and their distance in Å.
Fractional coordinates of all 8 atoms:
F1 0.1394 0.6250 0.2500  2 O 2.50, 2 Ba 2.55
F2 0.6106 0.1250 0.2500  2 O 2.50, 2 Ba 2.55
F3 0.3750 0.3894 0.7500  2 O 2.50, 2 Ba 2.55
F4 0.8750 0.8606 0.7500  2 O 2.50, 2 Ba 2.55
O1 0.5000 0.5000 0.0000  4 F 2.50
O2 0.2500 0.7500 0.5000  4 F 2.50
Ba1 0.0000 0.0000 0.0000  4 F 2.55
Ba2 0.7500 0.2500 0.5000  4 F 2.55

=====

Version B
Entry from Alexandria: an optimized crystal structure of BaOF2 (PBE).

Computed properties:
density of states at the Fermi level = 0.000 states/eV/f.u.
V = 64.3 Å³/cell
M_tot = 2.0 μB per formula unit

abc: 4.6463 4.6463 4.6463
angles: 55.99 55.99 55.99
Last column: nearest neighbours and their distance in Å.
Fractional coordinates of all 4 atoms:
F1 0.2373 0.2373 0.2373  3 O 2.65, 4 Ba 2.76-2.78
F2 0.7627 0.7627 0.7627  3 O 2.65, 4 Ba 2.76-2.78
O1 0.5000 0.5000 0.5000  6 F 2.65
Ba1 0.0000 0.0000 0.0000  8 F 2.76-2.78

=====

Energy ordering: version B at the bottom, the next structure 24.1 kJ/mol of atoms above.

=====

Version A
Entry from Alexandria: an optimized crystal structure of BaOsOF2 (PBE).

Computed properties:
density of states at the Fermi level = 2.847 states/eV/f.u.
V = 84.6 Å³/cell
M_tot = 0.0 μB per formula unit

abc: 4.7034 4.7034 3.8262
angles: 90.00 90.00 90.00
Last column: nearest neighbours and their distance in Å.
Fractional coordinates of all 5 atoms:
Ba1 0.5000 0.5000 0.5000  8 F 3.03, 4 O 3.33
F1 0.0000 0.5000 0.0000  2 Os 2.35
F2 0.5000 0.0000 0.0000  2 Os 2.35
O1 0.0000 0.0000 0.5000  2 Os 1.91
Os1 0.0000 0.0000 0.0000  2 O 1.91

=====

Version B
Entry from Alexandria: an optimized crystal structure of BaOsOF2 (PBE).

Computed properties:
density of states at the Fermi level = 3.702 states/eV/f.u.
V = 125.6 Å³/cell
M_tot = 6.0 μB per formula unit

abc: 4.9801 4.9801 5.0657
angles: 90.00 90.00 90.00
Last column: nearest neighbours and their distance in Å.
Fractional coordinates of all 5 atoms:
O1 0.0000 0.0000 0.5000  2 Ba 2.53
Os1 0.5000 0.5000 0.5000  4 O 3.52, 8 F 3.55
F1 0.5000 0.0000 0.0000  2 Ba 2.49
F2 0.0000 0.5000 0.0000  2 Ba 2.49
Ba1 0.0000 0.0000 0.0000  4 F 2.49, 2 O 2.53

=====

Energy ordering: version A at the bottom, the next structure 120.4 kJ/mol of atoms above.

=====

Version A
Entry from Alexandria: an optimized crystal structure of BaReOF2 (PBE).

Computed properties:
density of states at the Fermi level = 1.798 states/eV/f.u.
V = 124.5 Å³/cell
M_tot = 5.0 μB per formula unit

abc: 4.9669 4.9669 5.0482
angles: 90.00 90.00 90.00
Last column: nearest neighbours and their distance in Å.
Fractional coordinates of all 5 atoms:
Re1 0.5000 0.5000 0.5000  4 O 3.51, 8 F 3.54
F1 0.0000 0.5000 0.0000  2 Ba 2.48
F2 0.5000 0.0000 0.0000  2 Ba 2.48
Ba1 0.0000 0.0000 0.0000  4 F 2.48, 2 O 2.52
O1 0.0000 0.0000 0.5000  2 Ba 2.52

=====

Version B
Entry from Alexandria: an optimized crystal structure of BaReOF2 (PBE).

Computed properties:
density of states at the Fermi level = 2.784 states/eV/f.u.
V = 83.8 Å³/cell
M_tot = 0.0 μB per formula unit

abc: 4.6727 4.6727 3.8367
angles: 90.00 90.00 90.00
Last column: nearest neighbours and their distance in Å.
Fractional coordinates of all 5 atoms:
F1 0.0000 0.5000 0.0000  2 Re 2.34
F2 0.5000 0.0000 0.0000  2 Re 2.34
O1 0.0000 0.0000 0.5000  2 Re 1.92
Re1 0.0000 0.0000 0.0000  2 O 1.92
Ba1 0.5000 0.5000 0.5000  8 F 3.02, 4 O 3.30

=====

Energy ordering: version B at the bottom, the next structure 108.8 kJ/mol of atoms above.

=====

Version A
Entry from Alexandria: an optimized crystal structure of BaRuOF2 (PBE).

Computed properties:
density of states at the Fermi level = 1.657 states/eV/f.u.
V = 79.2 Å³/cell
M_tot = 1.8 μB per formula unit

abc: 4.4428 4.4428 4.0106
angles: 90.00 90.00 90.00
Last column: nearest neighbours and their distance in Å.
Fractional coordinates of all 5 atoms:
Ba1 0.5000 0.5000 0.5000  8 F 2.99, 4 O 3.14
Ru1 0.0000 0.0000 0.0000  2 O 2.01, 4 F 2.22
O1 0.0000 0.0000 0.5000  2 Ru 2.01
F1 0.0000 0.5000 0.0000  2 Ru 2.22
F2 0.5000 0.0000 0.0000  2 Ru 2.22

=====

Version B
Entry from Alexandria: an optimized crystal structure of BaRuOF2 (PBE).

Computed properties:
density of states at the Fermi level = 10.499 states/eV/f.u.
V = 119.1 Å³/cell
M_tot = 3.1 μB per formula unit

abc: 4.9738 4.9738 4.8135
angles: 90.00 90.00 90.00
Last column: nearest neighbours and their distance in Å.
Fractional coordinates of all 5 atoms:
O1 0.0000 0.0000 0.5000  2 Ba 2.41
F1 0.0000 0.5000 0.0000  2 Ba 2.49
F2 0.5000 0.0000 0.0000  2 Ba 2.49
Ru1 0.5000 0.5000 0.5000  8 F 3.46, 4 O 3.52
Ba1 0.0000 0.0000 0.0000  2 O 2.41, 4 F 2.49

=====

Energy ordering: version A at the bottom, the next structure 109.1 kJ/mol of atoms above.

=====

Version A
Entry from Alexandria: an optimized crystal structure of BaSiOF2 (PBE).

Computed properties:
density of states at the Fermi level = 2.624 states/eV/f.u.
V = 122.5 Å³/cell
M_tot = 0.0 μB per formula unit

abc: 4.9288 4.9288 5.0436
angles: 90.00 90.00 90.00
Last column: nearest neighbours and their distance in Å.
Fractional coordinates of all 5 atoms:
F1 0.0000 0.5000 0.0000  2 Ba 2.46
F2 0.5000 0.0000 0.0000  2 Ba 2.46
O1 0.0000 0.0000 0.5000  2 Ba 2.52
Ba1 0.0000 0.0000 0.0000  4 F 2.46, 2 O 2.52
Si1 0.5000 0.5000 0.5000  4 O 3.49, 8 F 3.53

=====

Version B
Entry from Alexandria: an optimized crystal structure of BaSiOF2 (PBE).

Computed properties:
density of states at the Fermi level = 0.529 states/eV/f.u.
V = 80.6 Å³/cell
M_tot = 0.0 μB per formula unit

abc: 4.5551 4.5551 3.8863
angles: 90.00 90.00 90.00
Last column: nearest neighbours and their distance in Å.
Fractional coordinates of all 5 atoms:
F1 0.0000 0.5000 0.0000  2 Si 2.28
F2 0.5000 0.0000 0.0000  2 Si 2.28
Si1 0.0000 0.0000 0.0000  2 O 1.94
Ba1 0.5000 0.5000 0.5000  8 F 2.99, 4 O 3.22
O1 0.0000 0.0000 0.5000  2 Si 1.94

=====

Energy ordering: version B at the bottom, the next structure 104.7 kJ/mol of atoms above.

=====

Version A
Entry from Alexandria: an optimized crystal structure of BaSnOF2 (PBE).

Computed properties:
density of states at the Fermi level = 1.774 states/eV/f.u.
V = 123.7 Å³/cell
M_tot = 0.0 μB per formula unit

abc: 4.8778 4.8778 5.2003
angles: 90.00 90.00 90.00
Last column: nearest neighbours and their distance in Å.
Fractional coordinates of all 5 atoms:
F1 0.5000 0.0000 0.0000  2 Ba 2.44
F2 0.0000 0.5000 0.0000  2 Ba 2.44
O1 0.0000 0.0000 0.5000  2 Ba 2.60
Ba1 0.0000 0.0000 0.0000  4 F 2.44, 2 O 2.60
Sn1 0.5000 0.5000 0.5000  4 O 3.45, 8 F 3.56

=====

Version B
Entry from Alexandria: an optimized crystal structure of BaSnOF2 (PBE).

Computed properties:
density of states at the Fermi level = 0.197 states/eV/f.u.
V = 100.0 Å³/cell
M_tot = 0.0 μB per formula unit

abc: 4.6674 4.6674 4.5897
angles: 90.00 90.00 90.00
Last column: nearest neighbours and their distance in Å.
Fractional coordinates of all 5 atoms:
Ba1 0.5000 0.5000 0.5000  8 F 3.27, 4 O 3.30
F1 0.0000 0.5000 0.0000  2 Sn 2.33
F2 0.5000 0.0000 0.0000  2 Sn 2.33
O1 0.0000 0.0000 0.5000  2 Sn 2.29
Sn1 0.0000 0.0000 0.0000  2 O 2.29, 4 F 2.33

=====

Energy ordering: version B at the bottom, the next structure 51.8 kJ/mol of atoms above.

=====

Version A
Entry from Alexandria: an optimized crystal structure of BaTaOF2 (PBE).

Computed properties:
density of states at the Fermi level = 2.180 states/eV/f.u.
V = 86.8 Å³/cell
M_tot = 2.5 μB per formula unit

abc: 4.6329 4.6329 4.0445
angles: 90.00 90.00 90.00
Last column: nearest neighbours and their distance in Å.
Fractional coordinates of all 5 atoms:
Ta1 0.0000 0.0000 0.0000  2 O 2.02
F1 0.0000 0.5000 0.0000  2 Ta 2.32
F2 0.5000 0.0000 0.0000  2 Ta 2.32
Ba1 0.5000 0.5000 0.5000  8 F 3.07, 4 O 3.28
O1 0.0000 0.0000 0.5000  2 Ta 2.02

=====

Version B
Entry from Alexandria: an optimized crystal structure of BaTaOF2 (PBE).

Computed properties:
density of states at the Fermi level = 7.121 states/eV/f.u.
V = 122.2 Å³/cell
M_tot = 3.0 μB per formula unit

abc: 4.8204 4.8204 5.2604
angles: 90.00 90.00 90.00
Last column: nearest neighbours and their distance in Å.
Fractional coordinates of all 5 atoms:
F1 0.5000 0.0000 0.0000  2 Ba 2.41
F2 0.0000 0.5000 0.0000  2 Ba 2.41
Ba1 0.0000 0.0000 0.0000  4 F 2.41, 2 O 2.63
O1 0.0000 0.0000 0.5000  2 Ba 2.63
Ta1 0.5000 0.5000 0.5000  4 O 3.41, 8 F 3.57

=====

Energy ordering: version A at the bottom, the next structure 144.8 kJ/mol of atoms above.

=====

Version A
Entry from Alexandria: an optimized crystal structure of BaZnOF2 (PBE).

Computed properties:
density of states at the Fermi level = 3.474 states/eV/f.u.
V = 120.4 Å³/cell
M_tot = 0.6 μB per formula unit

abc: 5.0189 4.7780 5.0189
angles: 90.00 90.00 90.00
Last column: nearest neighbours and their distance in Å.
Fractional coordinates of all 5 atoms:
Zn1 0.5000 0.5000 0.5000  8 F 3.46, 4 O 3.55
O1 0.0000 0.5000 0.0000  2 Ba 2.39
Ba1 0.0000 0.0000 0.0000  2 O 2.39, 4 F 2.51
F1 0.5000 0.0000 0.0000  2 Ba 2.51
F2 0.0000 0.0000 0.5000  2 Ba 2.51

=====

Version B
Entry from Alexandria: an optimized crystal structure of BaZnOF2 (PBE).

Computed properties:
density of states at the Fermi level = 0.000 states/eV/f.u.
V = 73.0 Å³/cell
M_tot = 0.0 μB per formula unit

abc: 4.2907 4.2907 3.9677
angles: 90.00 90.00 90.00
Last column: nearest neighbours and their distance in Å.
Fractional coordinates of all 5 atoms:
F1 0.5000 0.0000 0.0000  2 Zn 2.15
F2 0.0000 0.5000 0.0000  2 Zn 2.15
Zn1 0.0000 0.0000 0.0000  2 O 1.98, 4 F 2.15
O1 0.0000 0.0000 0.5000  2 Zn 1.98
Ba1 0.5000 0.5000 0.5000  8 F 2.92, 4 O 3.03

=====

Energy ordering: version B at the bottom, the next structure 113.3 kJ/mol of atoms above.